Run P
AcCeGePt: relaxed, PBE.

The structure belongs to space group P4/nmm (No. 129, origin choice 2); the cell edges are 4.732, 4.732 and 10.738 Å and the angles 90.00°, 90.00° and 90.00°. Symmetry generates all atoms from Ac at (0.250, 0.250, 0.164), Ce at (0.250, 0.750, 0.500), Ge at (0.250, 0.250, 0.878) and Pt at (0.250, 0.250, 0.653).

Its density is 8.8 Mg/m³.


Run Q
AcCeGePt: relaxed, PBE.

The structure belongs to space group F-43m (No. 216); the cell edges are 7.484, 7.484 and 7.484 Å and the angles 90.00°, 90.00° and 90.00°. Symmetry generates all atoms from Ac at (0.000, 0.000, 0.000), Ce at (0.000, 0.000, 0.500), Ge at (0.250, 0.250, 0.250) and Pt at (0.250, 0.250, 0.750).

Its density is 10.1 Mg/m³.


Top of the stability list: run Q, leading by 0.047 eV/atom.